# 1
Below is EuDy2Ni after structural relaxation, with properties calculated at the GGA-PBE level.

Values from the calculation:
- ΔE_f (meV/atom) = 8

Lattice parameters (Å, degrees): 10.574 10.574 10.574 21.01 21.01 21.01
Atoms (fractional coordinates):
1 Eu 0.000 0.000 0.000
2 Dy 0.119 0.119 0.119
3 Dy 0.881 0.881 0.881
4 Ni 0.500 0.500 0.500


# 2
Below is Be2CoPt after structural relaxation, with properties calculated at the GGA-PBE level.

Values from the calculation:
- ΔE_f (meV/atom) = -346

Lattice parameters (Å, degrees): 2.751 2.751 5.470 90.00 90.00 90.00
Atoms (fractional coordinates):
1 Be 0.000 0.000 0.000
2 Be 0.500 0.500 0.214
3 Co 0.000 0.000 0.409
4 Pt 0.500 0.500 0.752


# 3
Below is Tb3YRu after structural relaxation, with properties calculated at the GGA-PBE level.

Values from the calculation:
- ΔE_f (meV/atom) = -201

Lattice parameters (Å, degrees): 7.268 7.268 8.136 123.92 123.92 71.63
Atoms (fractional coordinates):
1 Tb 0.052 0.052 0.346
2 Tb 0.052 0.447 0.205
3 Tb 0.447 0.052 0.205
4 Tb 0.553 0.948 0.795
5 Tb 0.948 0.553 0.795
6 Tb 0.948 0.948 0.654
7 Y 0.447 0.447 0.743
8 Y 0.553 0.553 0.257
9 Ru 0.248 0.248 0.873
10 Ru 0.752 0.752 0.127


# 4
Below is TiSnHW2 after structural relaxation, with properties calculated at the GGA-PBE level.

Values from the calculation:
- energy (eV per formula unit) = -35.629

Lattice parameters (Å, degrees): 5.017 5.017 3.187 90.00 90.00 90.00
Atoms (fractional coordinates):
1 Ti 0.000 0.000 0.000
2 Sn 0.500 0.500 0.500
3 H 0.000 0.000 0.500
4 W 0.000 0.500 0.000
5 W 0.500 0.000 0.000


# 5
Below is NaGaAu2 after structural relaxation, with properties calculated at the GGA-PBE level.

Values from the calculation:
- ΔE_f (meV/atom) = -194

Lattice parameters (Å, degrees): 5.100 5.100 2.884 90.00 90.00 90.00
Atoms (fractional coordinates):
1 Na 0.000 0.000 0.000
2 Ga 0.500 0.500 0.000
3 Au 0.000 0.500 0.500
4 Au 0.500 0.000 0.500


# 6
Below is Zn3MoPd after structural relaxation, with properties calculated at the GGA-PBE level.

Values from the calculation:
- ΔE_f (meV/atom) = 876

Lattice parameters (Å, degrees): 4.585 4.585 4.585 90.00 90.00 90.00
Atoms (fractional coordinates):
1 Zn 0.000 0.000 0.500
2 Zn 0.000 0.500 0.000
3 Zn 0.500 0.000 0.000
4 Mo 0.500 0.500 0.500
5 Pd 0.000 0.000 0.000


Computed ρ, in the same sequence as the records: 6.68 10.91 7.48 11.08 10.77 6.87 g cm⁻³.